(1)
Entry from Alexandria via LeMat-Bulk: a relaxed structure of Ce2Ga4CoSi2 (PBE). Values from VASP.

Structure (Quantum ESPRESSO input):
```
&SYSTEM
  ibrav = 0, nat = 9, ntyp = 4
/
ATOMIC_SPECIES
Ce 140.12 Ce.upf
Ga 69.72 Ga.upf
Co 58.93 Co.upf
Si 28.09 Si.upf
ATOMIC_POSITIONS crystal
Ce 0.500 0.750 0.250
Ce 0.500 0.250 0.750
Ga 0.000 0.720 0.280
Ga 0.439 0.720 0.720
Ga 0.000 0.280 0.720
Ga 0.561 0.280 0.280
Co 0.000 0.000 0.000
Si 0.000 0.728 0.728
Si 0.000 0.272 0.272
CELL_PARAMETERS angstrom
6.110 -0.061 -0.088
-2.987 5.331 0.088
-2.987 -1.790 5.022
```

Results
Its symmetry is I4/mmm. Its density of states at the Fermi level is 1.030 states/eV/atom. The value obtained for the formation energy without anion corrections is -0.538 eV/atom. Its calculated total energy is -46.8 eV per formula unit. For the total magnetization, the calculation gives 0.9 μB per formula unit.

***

(2)
Entry from Alexandria via LeMat-Bulk: a relaxed structure of Ce2GaCo4Si3 (PBE). Values from VASP.

Structure (Quantum ESPRESSO input):
```
&SYSTEM
  ibrav = 0, nat = 10, ntyp = 4
/
ATOMIC_SPECIES
Ce 140.12 Ce.upf
Ga 69.72 Ga.upf
Co 58.93 Co.upf
Si 28.09 Si.upf
ATOMIC_POSITIONS crystal
Ce 0.500 0.000 0.252
Ce 0.000 0.500 0.748
Ga 0.500 0.500 0.500
Co 0.500 0.500 0.000
Co 0.000 0.000 0.000
Co 0.500 0.000 0.640
Co 0.000 0.500 0.360
Si 0.000 0.000 0.500
Si 0.500 0.000 0.877
Si 0.000 0.500 0.123
CELL_PARAMETERS angstrom
3.958 0.000 0.000
0.000 3.958 0.000
0.000 0.000 9.783
```

Results
Its symmetry is P-4m2. Its density of states at the Fermi level is 1.122 states/eV/atom. The value obtained for the formation energy without anion corrections is -0.675 eV/atom. Its calculated total energy is -66.3 eV per formula unit. For the total magnetization, the calculation gives 0.0 μB per formula unit.